The following is a PBE calculation of a geometry-optimized TcHgOs2 structure, from the Alexandria database.

Crystal system: tetragonal

Cell and atoms, written as CIF:
```
data_TcHgOs2
_chemical_formula_sum 'Tc1 Hg1 Os2'
_cell_length_a 4.9364
_cell_length_b 4.9364
_cell_length_c 4.9364
_cell_angle_alpha 133.29
_cell_angle_beta 133.29
_cell_angle_gamma 68.20
_space_group_name_H-M_alt 'P 1'
_space_group_IT_number 1
_space_group_name_Hall 'P 1'
loop_
_atom_site_label
_atom_site_type_symbol
_atom_site_fract_x
_atom_site_fract_y
_atom_site_fract_z
Tc1 Tc 0.0000 0.0000 0.0000
Hg1 Hg 0.5000 0.5000 0.0000
Os1 Os 0.2500 0.7500 0.5000
Os2 Os 0.7500 0.2500 0.5000
```

***

The following is a PBE calculation of a geometry-optimized Zr6CdHg5 structure, from the Alexandria database.

Crystal system: monoclinic

Cell and atoms, written as CIF:
```
data_Zr6CdHg5
_chemical_formula_sum 'Zr6 Cd1 Hg5'
_cell_length_a 7.0680
_cell_length_b 7.0680
_cell_length_c 5.4794
_cell_angle_alpha 97.36
_cell_angle_beta 97.36
_cell_angle_gamma 84.80
_space_group_name_H-M_alt 'P 1'
_space_group_IT_number 1
_space_group_name_Hall 'P 1'
loop_
_atom_site_label
_atom_site_type_symbol
_atom_site_fract_x
_atom_site_fract_y
_atom_site_fract_z
Zr1 Zr 0.0791 0.4167 0.7499
Zr2 Zr 0.2475 0.2475 0.2489
Zr3 Zr 0.4167 0.0791 0.7499
Zr4 Zr 0.5833 0.9209 0.2501
Zr5 Zr 0.7525 0.7525 0.7511
Zr6 Zr 0.9209 0.5833 0.2501
Cd1 Cd 0.5000 0.5000 0.0000
Hg1 Hg 0.0000 0.0000 0.5000
Hg2 Hg 0.1704 0.8296 0.0000
Hg3 Hg 0.3370 0.6630 0.5000
Hg4 Hg 0.6630 0.3370 0.5000
Hg5 Hg 0.8296 0.1704 0.0000
```

***

The following is a PBE calculation of a geometry-optimized TbZn6Co2 structure, from the Alexandria database.

Crystal system: orthorhombic

Cell and atoms, written as CIF:
```
data_TbZn6Co2
_chemical_formula_sum 'Tb1 Zn6 Co2'
_cell_length_a 6.7983
_cell_length_b 6.7983
_cell_length_c 6.7983
_cell_angle_alpha 142.02
_cell_angle_beta 130.09
_cell_angle_gamma 64.39
_space_group_name_H-M_alt 'P 1'
_space_group_IT_number 1
_space_group_name_Hall 'P 1'
loop_
_atom_site_label
_atom_site_type_symbol
_atom_site_fract_x
_atom_site_fract_y
_atom_site_fract_z
Tb1 Tb 0.0000 0.0000 0.0000
Zn1 Zn 0.0360 0.2925 0.7436
Zn2 Zn 0.2985 0.5000 0.7985
Zn3 Zn 0.4511 0.7075 0.7436
Zn4 Zn 0.5489 0.2925 0.2564
Zn5 Zn 0.7015 0.5000 0.2015
Zn6 Zn 0.9640 0.7075 0.2564
Co1 Co 0.3991 0.8991 0.5000
Co2 Co 0.6009 0.1009 0.5000
```

***

The following is a PBE calculation of a geometry-optimized Zr2PaBe structure, from the Alexandria database.

Crystal system: trigonal

Cell and atoms, written as CIF:
```
data_Zr2PaBe
_chemical_formula_sum 'Zr2 Pa1 Be1'
_cell_length_a 10.0748
_cell_length_b 10.0748
_cell_length_c 10.0748
_cell_angle_alpha 17.93
_cell_angle_beta 17.93
_cell_angle_gamma 17.93
_space_group_name_H-M_alt 'P 1'
_space_group_IT_number 1
_space_group_name_Hall 'P 1'
loop_
_atom_site_label
_atom_site_type_symbol
_atom_site_fract_x
_atom_site_fract_y
_atom_site_fract_z
Zr1 Zr 0.1039 0.1039 0.1039
Zr2 Zr 0.8961 0.8961 0.8961
Pa1 Pa 0.0000 0.0000 0.0000
Be1 Be 0.5000 0.5000 0.5000
```

***

E_form for the records above, in order: 0.753, -0.042, 0.019, 0.347 eV per atom